This record from OQMD via LeMat-Bulk describes crystalline Nd2Cd2O5 at its relaxed geometry. The functional is PBE.

```
9
Lattice="4.243 0.000 0.000 0.000 4.243 0.000 0.000 0.000 7.318" Properties=species:S:1:pos:R:3 pbc="T T T"
Nd 0.000 0.000 0.000
Nd 0.000 0.000 3.659
Cd 2.121 2.121 1.520
Cd 2.121 2.121 5.798
O 0.000 2.121 1.484
O 0.000 2.121 5.834
O 2.121 0.000 1.484
O 2.121 0.000 5.834
O 2.121 2.121 3.659
```

Properties
energy = -52.0 eV per cell
crystal system = tetragonal
volume = 14.64 Å³ per atom
spin magnetization = 0.00 μB/f.u.